Density functional theory data (PBE) for crystalline Rb2PmUS4 at its relaxed geometry.

Cell: 4.1445 7.1712 8.0843 Å, 107.23 90.00 90.00°
Last column: nearest neighbours and their distance in Å.
Element x y z (fractional)
S: 0.5000 0.7618 0.8033  1 U 2.80, 2 Pm 2.85
S: 0.0000 0.7249 0.1934  2 U 2.80, 1 Pm 2.86
S: 0.0000 0.2751 0.8066  2 U 2.80, 1 Pm 2.86
S: 0.5000 0.2382 0.1967  1 U 2.80, 2 Pm 2.85
Pm: 0.0000 0.0000 0.0000  6 S 2.85-2.86
U: 0.5000 0.5000 0.0000  6 S 2.80
Rb: 0.0000 0.5000 0.5000  6 S 3.33
Rb: 0.5000 0.0000 0.5000  6 S 3.38



Density functional theory data (PBE) for crystalline Rb2Pm2US6 at its relaxed geometry.

Cell: 7.1240 7.1240 8.2168 Å, 98.47 98.47 119.80°
Last column: nearest neighbours and their distance in Å.
Element x y z (fractional)
S: 0.9386 0.6151 0.3120  1 U 2.73, 2 Pm 2.82-2.85
S: 0.2543 0.2543 0.3125  1 U 2.71, 2 Pm 2.84
S: 0.3849 0.0614 0.6880  1 U 2.73, 2 Pm 2.82-2.85
S: 0.7457 0.7457 0.6875  1 U 2.71, 2 Pm 2.84
S: 0.6151 0.9386 0.3120  1 U 2.73, 2 Pm 2.82-2.85
S: 0.0614 0.3849 0.6880  1 U 2.73, 2 Pm 2.82-2.85
Pm: 0.6663 0.3337 0.5000  6 S 2.82-2.85
Pm: 0.3337 0.6663 0.5000  6 S 2.82-2.85
Rb: 0.8306 0.1694 0.0000  6 S 3.39-3.44
Rb: 0.1694 0.8306 0.0000  6 S 3.39-3.44
U: 0.0000 0.0000 0.5000  6 S 2.71-2.73



Number 1: formation energy from raw total energies -12.6 eV per formula unit, energy -5.888 eV/atom. Number 2: formation energy from raw total energies -18.9 eV per formula unit, energy -6.036 eV/atom.